# 1
Below is a geometry-optimized Tb3Sm5Mg structure, with properties calculated at the PBE level.

Unit cell a=14.696 b=11.655 c=9.104 alpha=90.00 beta=121.82 gamma=90.00
Space group C2/m (No. 12)
Symmetry-distinct sites (fractional):
1 Tb 0.000 0.000 0.000 x2
2 Tb 0.000 0.000 0.500 x2
3 Tb 0.142 0.500 0.093 x4
4 Tb 0.197 0.500 0.782 x4
5 Sm 0.000 0.256 0.000 x4
6 Sm 0.052 0.500 0.354 x4
7 Sm 0.169 0.237 0.684 x8
8 Sm 0.185 0.000 0.426 x4
9 Mg 0.134 0.000 0.859 x4

Summary:
Energy relative to the elements in eV/atom: 0.566
Size of the total moment in μB per formula unit: 0.000
Uncorrected energy in eV per atom: -3.78
Crystal system: monoclinic

=====

# 2
Below is a geometry-optimized BaLi2TlAg structure, with properties calculated at the PBE level.

Unit cell a=5.256 b=5.256 c=5.423 alpha=90.00 beta=90.00 gamma=90.00
Space group P4/mmm (No. 123)
Symmetry-distinct sites (fractional):
1 Ba 0.000 0.000 0.000 x1
2 Li 0.000 0.500 0.500 x2
3 Tl 0.500 0.500 0.500 x1
4 Ag 0.500 0.500 0.000 x1

Summary:
Energy relative to the elements in eV/atom: -0.064
Size of the total moment in μB per formula unit: 0.000
E above lowest polymorph in meV per atom: 20
Uncorrected energy in eV per atom: -2.26
Crystal system: tetragonal

=====

# 3
Below is a geometry-optimized LaPmSn structure, with properties calculated at the PBE level.

Unit cell a=7.558 b=7.558 c=7.558 alpha=90.00 beta=90.00 gamma=90.00
Space group F-43m (No. 216)
Symmetry-distinct sites (fractional):
1 La 0.000 0.000 0.000 x4
2 Pm 0.000 0.000 0.500 x4
3 Sn 0.250 0.250 0.250 x4

Summary:
Energy relative to the elements in eV/atom: -0.454
Size of the total moment in μB per formula unit: 0.000
E above lowest polymorph in meV per atom: 143
Uncorrected energy in eV per atom: -5.01
Crystal system: cubic

=====

# 4
Below is a geometry-optimized ZnAs2RuBr structure, with properties calculated at the PBE level.

Unit cell a=4.762 b=4.762 c=5.127 alpha=90.00 beta=90.00 gamma=90.00
Space group P4/mmm (No. 123)
Symmetry-distinct sites (fractional):
1 Zn 0.000 0.000 0.000 x1
2 As 0.000 0.500 0.000 x2
3 Ru 0.500 0.500 0.500 x1
4 Br 0.000 0.000 0.500 x1

Summary:
Formation energy from raw total energies in eV per atom: 1.14
Size of the total moment in μB per formula unit: 2.042
E above lowest polymorph in meV per atom: 732
Uncorrected energy in eV per atom: -3.17
Crystal system: tetragonal